Record 1
# ScBe2Zn GGA-PBE optimized geometry
data_ScBe2Zn
_chemical_formula_sum 'Sc3 Be6 Zn3'
_cell_length_a 2.831
_cell_length_b 2.831
_cell_length_c 24.800
_cell_angle_alpha 90.00
_cell_angle_beta 90.00
_cell_angle_gamma 120.00
_space_group_name_H-M_alt 'P 1'
_space_group_IT_number 1
loop_
_space_group_symop_operation_xyz
'x,y,z'
loop_
_atom_site_label
_atom_site_type_symbol
_atom_site_fract_x
_atom_site_fract_y
_atom_site_fract_z
Sc1 Sc 0.000 0.000 0.000
Sc2 Sc 0.333 0.667 0.667
Sc3 Sc 0.667 0.333 0.333
Be1 Be 0.000 0.000 0.243
Be2 Be 0.000 0.000 0.512
Be3 Be 0.333 0.667 0.179
Be4 Be 0.333 0.667 0.910
Be5 Be 0.667 0.333 0.576
Be6 Be 0.667 0.333 0.845
Zn1 Zn 0.000 0.000 0.768
Zn2 Zn 0.333 0.667 0.434
Zn3 Zn 0.667 0.333 0.101
# * electronic total energy: -13.4 eV/f.u.
# * space group: No. 160
# * formation enthalpy at 0 K: 39.1 kJ/mol of atoms



Record 2
# Sc4BeZn3 GGA-PBE optimized geometry
data_Sc4BeZn3
_chemical_formula_sum 'Sc4 Be1 Zn3'
_cell_length_a 8.102
_cell_length_b 8.102
_cell_length_c 8.102
_cell_angle_alpha 33.58
_cell_angle_beta 33.58
_cell_angle_gamma 33.58
_space_group_name_H-M_alt 'P 1'
_space_group_IT_number 1
loop_
_space_group_symop_operation_xyz
'x,y,z'
loop_
_atom_site_label
_atom_site_type_symbol
_atom_site_fract_x
_atom_site_fract_y
_atom_site_fract_z
Sc1 Sc 0.122 0.122 0.122
Sc2 Sc 0.372 0.372 0.372
Sc3 Sc 0.628 0.628 0.628
Sc4 Sc 0.878 0.878 0.878
Be1 Be 0.000 0.000 0.000
Zn1 Zn 0.249 0.249 0.249
Zn2 Zn 0.500 0.500 0.500
Zn3 Zn 0.751 0.751 0.751
# * electronic total energy: -35.1 eV/f.u.
# * space group: No. 166
# * formation enthalpy at 0 K: -27.4 kJ/mol of atoms



Record 3
# ScBe2Zn GGA-PBE optimized geometry
data_ScBe2Zn
_chemical_formula_sum 'Sc2 Be4 Zn2'
_cell_length_a 6.622
_cell_length_b 3.818
_cell_length_c 4.970
_cell_angle_alpha 90.00
_cell_angle_beta 116.11
_cell_angle_gamma 90.00
_space_group_name_H-M_alt 'P 1'
_space_group_IT_number 1
loop_
_space_group_symop_operation_xyz
'x,y,z'
loop_
_atom_site_label
_atom_site_type_symbol
_atom_site_fract_x
_atom_site_fract_y
_atom_site_fract_z
Sc1 Sc 0.000 0.000 0.000
Sc2 Sc 0.500 0.500 0.000
Be1 Be 0.201 0.000 0.603
Be2 Be 0.299 0.500 0.397
Be3 Be 0.701 0.500 0.603
Be4 Be 0.799 0.000 0.397
Zn1 Zn 0.000 0.500 0.500
Zn2 Zn 0.500 0.000 0.500
# * electronic total energy: -15.3 eV/f.u.
# * space group: No. 12
# * formation enthalpy at 0 K: -5.7 kJ/mol of atoms



Record 4
# ScBe4Zn GGA-PBE optimized geometry
data_ScBe4Zn
_chemical_formula_sum 'Sc1 Be4 Zn1'
_cell_length_a 4.610
_cell_length_b 4.610
_cell_length_c 4.610
_cell_angle_alpha 60.00
_cell_angle_beta 60.00
_cell_angle_gamma 60.00
_space_group_name_H-M_alt 'P 1'
_space_group_IT_number 1
loop_
_space_group_symop_operation_xyz
'x,y,z'
loop_
_atom_site_label
_atom_site_type_symbol
_atom_site_fract_x
_atom_site_fract_y
_atom_site_fract_z
Sc1 Sc 0.000 0.000 0.000
Be1 Be 0.373 0.373 0.373
Be2 Be 0.373 0.373 0.882
Be3 Be 0.373 0.882 0.373
Be4 Be 0.882 0.373 0.373
Zn1 Zn 0.750 0.750 0.750
# * electronic total energy: -22.5 eV/f.u.
# * space group: No. 216
# * formation enthalpy at 0 K: 0.9 kJ/mol of atoms



Record 5
# ScBe3Zn GGA-PBE optimized geometry
data_ScBe3Zn
_chemical_formula_sum 'Sc1 Be3 Zn1'
_cell_length_a 4.109
_cell_length_b 4.109
_cell_length_c 4.109
_cell_angle_alpha 90.00
_cell_angle_beta 90.00
_cell_angle_gamma 90.00
_space_group_name_H-M_alt 'P 1'
_space_group_IT_number 1
loop_
_space_group_symop_operation_xyz
'x,y,z'
loop_
_atom_site_label
_atom_site_type_symbol
_atom_site_fract_x
_atom_site_fract_y
_atom_site_fract_z
Sc1 Sc 0.000 0.000 0.000
Be1 Be 0.000 0.500 0.500
Be2 Be 0.500 0.000 0.500
Be3 Be 0.500 0.500 0.000
Zn1 Zn 0.500 0.500 0.500
# * energy relative to the lowest polymorph listed for this composition: 0 meV/atom
# * electronic total energy: -17.0 eV/f.u.
# * space group: No. 221
# * formation enthalpy at 0 K: 34.5 kJ/mol of atoms



Record 6
# Sc2BeZn2 GGA-PBE optimized geometry
data_Sc2BeZn2
_chemical_formula_sum 'Sc4 Be2 Zn4'
_cell_length_a 6.514
_cell_length_b 6.514
_cell_length_c 4.133
_cell_angle_alpha 90.00
_cell_angle_beta 90.00
_cell_angle_gamma 90.00
_space_group_name_H-M_alt 'P 1'
_space_group_IT_number 1
loop_
_space_group_symop_operation_xyz
'x,y,z'
loop_
_atom_site_label
_atom_site_type_symbol
_atom_site_fract_x
_atom_site_fract_y
_atom_site_fract_z
Sc1 Sc 0.171 0.329 0.000
Sc2 Sc 0.329 0.829 0.000
Sc3 Sc 0.671 0.171 0.000
Sc4 Sc 0.829 0.671 0.000
Be1 Be 0.000 0.000 0.500
Be2 Be 0.500 0.500 0.500
Zn1 Zn 0.136 0.636 0.500
Zn2 Zn 0.364 0.136 0.500
Zn3 Zn 0.636 0.864 0.500
Zn4 Zn 0.864 0.364 0.500
# * electronic total energy: -19.6 eV/f.u.
# * space group: No. 127
# * formation enthalpy at 0 K: -12.4 kJ/mol of atoms



Record 7
# ScBeZn3 GGA-PBE optimized geometry
data_ScBeZn3
_chemical_formula_sum 'Sc1 Be1 Zn3'
_cell_length_a 4.285
_cell_length_b 4.285
_cell_length_c 4.285
_cell_angle_alpha 90.00
_cell_angle_beta 90.00
_cell_angle_gamma 90.00
_space_group_name_H-M_alt 'P 1'
_space_group_IT_number 1
loop_
_space_group_symop_operation_xyz
'x,y,z'
loop_
_atom_site_label
_atom_site_type_symbol
_atom_site_fract_x
_atom_site_fract_y
_atom_site_fract_z
Sc1 Sc 0.000 0.000 0.000
Be1 Be 0.500 0.500 0.500
Zn1 Zn 0.000 0.500 0.500
Zn2 Zn 0.500 0.000 0.500
Zn3 Zn 0.500 0.500 0.000
# * energy relative to the lowest polymorph listed for this composition: 0 meV/atom
# * electronic total energy: -13.8 eV/f.u.
# * space group: No. 221
# * formation enthalpy at 0 K: 0.8 kJ/mol of atoms



Record 8
# ScBeZn4 GGA-PBE optimized geometry
data_ScBeZn4
_chemical_formula_sum 'Sc1 Be1 Zn4'
_cell_length_a 5.089
_cell_length_b 5.089
_cell_length_c 5.089
_cell_angle_alpha 60.00
_cell_angle_beta 60.00
_cell_angle_gamma 60.00
_space_group_name_H-M_alt 'P 1'
_space_group_IT_number 1
loop_
_space_group_symop_operation_xyz
'x,y,z'
loop_
_atom_site_label
_atom_site_type_symbol
_atom_site_fract_x
_atom_site_fract_y
_atom_site_fract_z
Sc1 Sc 0.000 0.000 0.000
Be1 Be 0.750 0.750 0.750
Zn1 Zn 0.375 0.375 0.375
Zn2 Zn 0.375 0.375 0.875
Zn3 Zn 0.375 0.875 0.375
Zn4 Zn 0.875 0.375 0.375
# * electronic total energy: -14.8 eV/f.u.
# * space group: No. 216
# * formation enthalpy at 0 K: 5.3 kJ/mol of atoms



Record 9
# ScBe2Zn GGA-PBE optimized geometry
data_ScBe2Zn
_chemical_formula_sum 'Sc2 Be4 Zn2'
_cell_length_a 5.917
_cell_length_b 6.006
_cell_length_c 4.204
_cell_angle_alpha 90.00
_cell_angle_beta 134.61
_cell_angle_gamma 90.00
_space_group_name_H-M_alt 'P 1'
_space_group_IT_number 1
loop_
_space_group_symop_operation_xyz
'x,y,z'
loop_
_atom_site_label
_atom_site_type_symbol
_atom_site_fract_x
_atom_site_fract_y
_atom_site_fract_z
Sc1 Sc 0.000 0.000 0.000
Sc2 Sc 0.500 0.500 0.000
Be1 Be 0.000 0.251 0.500
Be2 Be 0.000 0.500 0.000
Be3 Be 0.500 0.000 0.000
Be4 Be 0.500 0.751 0.500
Zn1 Zn 0.000 0.749 0.500
Zn2 Zn 0.500 0.249 0.500
# * electronic total energy: -15.1 eV/f.u.
# * space group: No. 5
# * formation enthalpy at 0 K: -1.4 kJ/mol of atoms



Record 10
# ScBe2Zn GGA-PBE optimized geometry
data_ScBe2Zn
_chemical_formula_sum 'Sc2 Be4 Zn2'
_cell_length_a 3.757
_cell_length_b 3.125
_cell_length_c 9.404
_cell_angle_alpha 90.00
_cell_angle_beta 90.00
_cell_angle_gamma 90.00
_space_group_name_H-M_alt 'P 1'
_space_group_IT_number 1
loop_
_space_group_symop_operation_xyz
'x,y,z'
loop_
_atom_site_label
_atom_site_type_symbol
_atom_site_fract_x
_atom_site_fract_y
_atom_site_fract_z
Sc1 Sc 0.000 0.000 0.000
Sc2 Sc 0.000 0.500 0.500
Be1 Be 0.000 0.000 0.280
Be2 Be 0.000 0.500 0.780
Be3 Be 0.500 0.000 0.390
Be4 Be 0.500 0.500 0.890
Zn1 Zn 0.500 0.000 0.696
Zn2 Zn 0.500 0.500 0.196
# * electronic total energy: -15.1 eV/f.u.
# * space group: No. 38
# * formation enthalpy at 0 K: -0.2 kJ/mol of atoms



Record 11
# ScBe2Zn GGA-PBE optimized geometry
data_ScBe2Zn
_chemical_formula_sum 'Sc3 Be6 Zn3'
_cell_length_a 2.941
_cell_length_b 2.941
_cell_length_c 23.813
_cell_angle_alpha 90.00
_cell_angle_beta 90.00
_cell_angle_gamma 120.00
_space_group_name_H-M_alt 'P 1'
_space_group_IT_number 1
loop_
_space_group_symop_operation_xyz
'x,y,z'
loop_
_atom_site_label
_atom_site_type_symbol
_atom_site_fract_x
_atom_site_fract_y
_atom_site_fract_z
Sc1 Sc 0.000 0.000 0.000
Sc2 Sc 0.333 0.667 0.667
Sc3 Sc 0.667 0.333 0.333
Be1 Be 0.000 0.000 0.242
Be2 Be 0.000 0.000 0.758
Be3 Be 0.333 0.667 0.425
Be4 Be 0.333 0.667 0.908
Be5 Be 0.667 0.333 0.092
Be6 Be 0.667 0.333 0.575
Zn1 Zn 0.000 0.000 0.500
Zn2 Zn 0.333 0.667 0.167
Zn3 Zn 0.667 0.333 0.833
# * electronic total energy: -13.3 eV/f.u.
# * space group: No. 166
# * formation enthalpy at 0 K: 41.9 kJ/mol of atoms



Record 12
# Sc3BeZn2 GGA-PBE optimized geometry
data_Sc3BeZn2
_chemical_formula_sum 'Sc3 Be1 Zn2'
_cell_length_a 3.270
_cell_length_b 3.270
_cell_length_c 10.003
_cell_angle_alpha 90.00
_cell_angle_beta 90.00
_cell_angle_gamma 90.00
_space_group_name_H-M_alt 'P 1'
_space_group_IT_number 1
loop_
_space_group_symop_operation_xyz
'x,y,z'
loop_
_atom_site_label
_atom_site_type_symbol
_atom_site_fract_x
_atom_site_fract_y
_atom_site_fract_z
Sc1 Sc 0.000 0.000 0.000
Sc2 Sc 0.000 0.000 0.348
Sc3 Sc 0.000 0.000 0.652
Be1 Be 0.500 0.500 0.500
Zn1 Zn 0.500 0.500 0.174
Zn2 Zn 0.500 0.500 0.826
# * electronic total energy: -26.8 eV/f.u.
# * space group: No. 123
# * formation enthalpy at 0 K: -25.2 kJ/mol of atoms



Record 13
# Sc2Be2Zn GGA-PBE optimized geometry
data_Sc2Be2Zn
_chemical_formula_sum 'Sc4 Be4 Zn2'
_cell_length_a 6.457
_cell_length_b 6.457
_cell_length_c 3.805
_cell_angle_alpha 90.00
_cell_angle_beta 90.00
_cell_angle_gamma 90.00
_space_group_name_H-M_alt 'P 1'
_space_group_IT_number 1
loop_
_space_group_symop_operation_xyz
'x,y,z'
loop_
_atom_site_label
_atom_site_type_symbol
_atom_site_fract_x
_atom_site_fract_y
_atom_site_fract_z
Sc1 Sc 0.172 0.328 0.000
Sc2 Sc 0.328 0.828 0.000
Sc3 Sc 0.672 0.172 0.000
Sc4 Sc 0.828 0.672 0.000
Be1 Be 0.121 0.621 0.500
Be2 Be 0.379 0.121 0.500
Be3 Be 0.621 0.879 0.500
Be4 Be 0.879 0.379 0.500
Zn1 Zn 0.000 0.000 0.500
Zn2 Zn 0.500 0.500 0.500
# * electronic total energy: -22.0 eV/f.u.
# * space group: No. 127
# * formation enthalpy at 0 K: -12.5 kJ/mol of atoms



Record 14
# ScBe2Zn GGA-PBE optimized geometry
data_ScBe2Zn
_chemical_formula_sum 'Sc1 Be2 Zn1'
_cell_length_a 2.922
_cell_length_b 2.922
_cell_length_c 6.258
_cell_angle_alpha 90.00
_cell_angle_beta 90.00
_cell_angle_gamma 90.00
_space_group_name_H-M_alt 'P 1'
_space_group_IT_number 1
loop_
_space_group_symop_operation_xyz
'x,y,z'
loop_
_atom_site_label
_atom_site_type_symbol
_atom_site_fract_x
_atom_site_fract_y
_atom_site_fract_z
Sc1 Sc 0.000 0.000 0.000
Be1 Be 0.500 0.500 0.296
Be2 Be 0.500 0.500 0.704
Zn1 Zn 0.000 0.000 0.500
# * electronic total energy: -14.8 eV/f.u.
# * space group: No. 123
# * formation enthalpy at 0 K: 5.9 kJ/mol of atoms